The following is a PBE calculation of a geometry-optimized YRe3As structure, from the Alexandria database.

The space group is Pm-3m (No. 221) and the conventional cell measures 4.855, 4.855 and 4.855 Å, with angles of 90.00, 90.00 and 90.00 degrees. The asymmetric unit holds Y at (0.000, 0.000, 0.000), Re at (0.000, 0.000, 0.500) and As at (0.500, 0.500, 0.500).

Its total energy is -6.51 eV/atom. The calculation puts the energy relative to the elements at 3179 meV per atom.

The following is a PBE calculation of a geometry-optimized SbTeBr2 structure, from the Alexandria database.

The space group is Cmmm (No. 65) and the conventional cell measures 3.733, 5.878 and 11.940 Å, with angles of 90.00, 90.00 and 90.00 degrees. The asymmetric unit holds Sb at (0.000, 0.000, 0.000), Te at (0.000, 0.000, 0.500) and Br at (0.000, 0.500, 0.181).

Its total energy is -2.61 eV/atom. The value obtained for the raw formation energy is 0.05 eV/atom.

The following is a PBE calculation of a geometry-optimized La2Sm5Sn4 structure, from the Alexandria database.

The space group is Immm (No. 71) and the conventional cell measures 4.679, 9.966 and 18.381 Å, with angles of 90.00, 90.00 and 90.00 degrees. The asymmetric unit holds La at (0.000, 0.000, 0.117), Sm at (0.000, 0.313, 0.170), Sm at (0.000, 0.500, 0.500), Sn at (0.000, 0.000, 0.288) and Sn at (0.000, 0.242, 0.000).

Its total energy is -4.51 eV/atom. The calculation puts the energy relative to the elements at -12 meV per atom.